<w>
DFT (PBE) results for a geometry-optimized TaIrPb3 structure.

Cell and atoms, written as POSCAR:
```
TaIrPb3
1.0
5.257 0.000 0.000
0.000 5.257 0.000
0.000 0.000 5.257
Ta Ir Pb
1 1 3
Direct
0.000 0.000 0.000
0.500 0.500 0.500
0.000 0.500 0.500
0.500 0.000 0.500
0.500 0.500 0.000
```

Computed properties:
V ... 145.3 Å³/cell

<x>
DFT (PBE) results for a geometry-optimized TaIrPb3 structure.

Cell and atoms, written as POSCAR:
```
TaIrPb3
1.0
5.436 0.000 0.000
0.000 5.436 0.000
0.000 0.000 5.436
Ta Ir Pb
1 1 3
Direct
0.000 0.000 0.000
0.500 0.500 0.500
0.000 0.000 0.500
0.000 0.500 0.000
0.500 0.000 0.000
```

Computed properties:
V ... 160.7 Å³/cell

It is <w> that is most stable; the runner-up trails by 223 meV/atom.

<w>
DFT (PBE) results for a geometry-optimized TaIrPb2 structure.

Cell and atoms, written as POSCAR:
```
TaIrPb2
1.0
3.144 0.000 0.000
0.000 4.573 0.000
-0.368 0.000 5.845
Ta Ir Pb
1 1 2
Direct
0.000 0.000 0.000
0.500 0.000 0.500
0.306 0.500 0.746
0.694 0.500 0.254
```

Computed properties:
V ... 84.0 Å³/cell

<x>
DFT (PBE) results for a geometry-optimized TaIrPb2 structure.

Cell and atoms, written as POSCAR:
```
TaIrPb2
1.0
3.158 0.000 0.000
0.000 4.993 0.000
0.000 0.000 5.394
Ta Ir Pb
1 1 2
Direct
0.000 0.000 0.000
0.500 0.000 0.500
0.000 0.500 0.500
0.500 0.500 0.000
```

Computed properties:
V ... 85.1 Å³/cell

<y>
DFT (PBE) results for a geometry-optimized TaIrPb2 structure.

Cell and atoms, written as POSCAR:
```
TaIrPb2
1.0
5.207 -1.751 0.000
5.207 1.751 0.000
-3.627 0.000 5.134
Ta Ir Pb
1 1 2
Direct
0.000 0.000 0.000
0.384 0.384 0.655
0.617 0.617 0.523
0.780 0.780 0.161
```

Computed properties:
V ... 93.6 Å³/cell

It is <y> that is most stable; the runner-up trails by 358 meV/atom.

<w>
DFT (PBE) results for a geometry-optimized TaIrPb2 structure.

Cell and atoms, written as POSCAR:
```
TaIrPb2
1.0
4.921 0.000 0.000
0.000 4.921 0.000
0.000 0.000 3.352
Ta Ir Pb
1 1 2
Direct
0.000 0.000 0.000
0.500 0.500 0.000
0.000 0.500 0.500
0.500 0.000 0.500
```

Computed properties:
V ... 81.2 Å³/cell

<x>
DFT (PBE) results for a geometry-optimized TaIrPb2 structure.

Cell and atoms, written as POSCAR:
```
TaIrPb2
1.0
-2.163 2.163 4.437
2.163 -2.163 4.437
2.163 2.163 -4.437
Ta Ir Pb
1 1 2
Direct
0.000 0.000 0.000
0.250 0.750 0.500
0.500 0.500 0.000
0.750 0.250 0.500
```

Computed properties:
V ... 83.0 Å³/cell

It is <w> that is most stable; the runner-up trails by 22 meV/atom.

<w>
DFT (PBE) results for a geometry-optimized TaIr3Pb structure.

Cell and atoms, written as POSCAR:
```
TaIr3Pb
1.0
4.856 0.000 0.000
0.000 4.856 0.000
0.000 0.000 4.856
Ta Ir Pb
1 3 1
Direct
0.000 0.000 0.000
0.000 0.000 0.500
0.000 0.500 0.000
0.500 0.000 0.000
0.500 0.500 0.500
```

Computed properties:
V ... 114.5 Å³/cell

<x>
DFT (PBE) results for a geometry-optimized TaIr3Pb structure.

Cell and atoms, written as POSCAR:
```
TaIr3Pb
1.0
4.855 0.000 0.000
0.000 4.855 0.000
0.000 0.000 4.855
Ta Ir Pb
1 3 1
Direct
0.000 0.000 0.000
0.000 0.500 0.500
0.500 0.000 0.500
0.500 0.500 0.000
0.500 0.500 0.500
```

Computed properties:
V ... 114.4 Å³/cell

It is <w> that is most stable; the runner-up trails by 1204 meV/atom.

<w>
DFT (PBE) results for a geometry-optimized TaIr2Pb2 structure.

Cell and atoms, written as POSCAR:
```
TaIr2Pb2
1.0
6.748 0.000 0.000
0.000 6.748 0.000
0.000 0.000 4.700
Ta Ir Pb
2 4 4
Direct
0.000 0.000 0.000
0.500 0.500 0.000
0.137 0.363 0.000
0.363 0.863 0.000
0.637 0.137 0.000
0.863 0.637 0.000
0.177 0.677 0.500
0.323 0.177 0.500
0.677 0.823 0.500
0.823 0.323 0.500
```

Computed properties:
V ... 214.0 Å³/cell

<x>
DFT (PBE) results for a geometry-optimized TaIr2Pb2 structure.

Cell and atoms, written as POSCAR:
```
TaIr2Pb2
1.0
-2.029 2.029 6.471
2.029 -2.029 6.471
2.029 2.029 -6.471
Ta Ir Pb
1 2 2
Direct
0.000 0.000 0.000
0.406 0.406 0.000
0.594 0.594 0.000
0.250 0.750 0.500
0.750 0.250 0.500
```

Computed properties:
V ... 106.6 Å³/cell

It is <w> that is most stable; the runner-up trails by 488 meV/atom.

<w>
DFT (PBE) results for a geometry-optimized Ta2IrPb2 structure.

Cell and atoms, written as POSCAR:
```
Ta2IrPb2
1.0
-1.832 1.832 8.403
1.832 -1.832 8.403
1.832 1.832 -8.403
Ta Ir Pb
2 1 2
Direct
0.250 0.750 0.500
0.750 0.250 0.500
0.000 0.000 0.000
0.406 0.406 0.000
0.594 0.594 0.000
```

Computed properties:
V ... 112.8 Å³/cell

<x>
DFT (PBE) results for a geometry-optimized Ta2IrPb2 structure.

Cell and atoms, written as POSCAR:
```
Ta2IrPb2
1.0
6.943 0.000 0.000
0.000 6.943 0.000
0.000 0.000 4.418
Ta Ir Pb
4 2 4
Direct
0.141 0.359 0.000
0.359 0.859 0.000
0.641 0.141 0.000
0.859 0.641 0.000
0.000 0.000 0.500
0.500 0.500 0.500
0.154 0.654 0.500
0.346 0.154 0.500
0.654 0.846 0.500
0.846 0.346 0.500
```

Computed properties:
V ... 213.0 Å³/cell

It is <x> that is most stable; the runner-up trails by 109 meV/atom.

<w>
DFT (PBE) results for a geometry-optimized Ta3IrPb structure.

Cell and atoms, written as POSCAR:
```
Ta3IrPb
1.0
4.905 0.000 0.000
0.000 4.905 0.000
0.000 0.000 4.905
Ta Ir Pb
3 1 1
Direct
0.000 0.000 0.500
0.000 0.500 0.000
0.500 0.000 0.000
0.000 0.000 0.000
0.500 0.500 0.500
```

Computed properties:
V ... 118.0 Å³/cell

<x>
DFT (PBE) results for a geometry-optimized Ta3IrPb structure.

Cell and atoms, written as POSCAR:
```
Ta3IrPb
1.0
4.995 0.000 0.000
0.000 4.995 0.000
0.000 0.000 4.995
Ta Ir Pb
3 1 1
Direct
0.000 0.000 0.500
0.000 0.500 0.000
0.500 0.000 0.000
0.500 0.500 0.500
0.000 0.000 0.000
```

Computed properties:
V ... 124.6 Å³/cell

It is <w> that is most stable; the runner-up trails by 1754 meV/atom.

<w>
DFT (PBE) results for a geometry-optimized Tb2IrPb structure.

Cell and atoms, written as POSCAR:
```
Tb2IrPb
1.0
0.000 3.646 3.646
3.646 0.000 3.646
3.646 3.646 0.000
Tb Ir Pb
2 1 1
Direct
0.250 0.250 0.250
0.750 0.750 0.750
0.000 0.000 0.000
0.500 0.500 0.500
```

Computed properties:
V ... 97.0 Å³/cell

<x>
DFT (PBE) results for a geometry-optimized Tb2IrPb structure.

Cell and atoms, written as POSCAR:
```
Tb2IrPb
1.0
4.900 0.000 0.000
0.000 4.900 0.000
0.000 0.000 3.981
Tb Ir Pb
2 1 1
Direct
0.000 0.500 0.000
0.500 0.000 0.000
0.000 0.000 0.500
0.500 0.500 0.500
```

Computed properties:
V ... 95.6 Å³/cell

<y>
DFT (PBE) results for a geometry-optimized Tb2IrPb structure.

Cell and atoms, written as POSCAR:
```
Tb2IrPb
1.0
1.952 1.127 8.487
-1.952 1.127 8.487
0.000 -2.254 8.487
Tb Ir Pb
2 1 1
Direct
0.230 0.230 0.230
0.770 0.770 0.770
0.500 0.500 0.500
0.000 0.000 0.000
```

Computed properties:
V ... 112.0 Å³/cell

It is <y> that is most stable; the runner-up trails by 75 meV/atom.